(1)
VASP calculation (PBE) on a relaxed structure of ErLuOs.

Results
energy relative to the elements: 0.7101 eV/atom
total energy: -6.06 eV per atom
M_tot: 0.0 μB/cell
crystal system: cubic

Cell: 6.6117 6.6117 6.6117 Å, 90.00 90.00 90.00°
Closest atoms and distances in Å follow each position.
Space group F-43m (No. 216)
Symmetry-distinct sites (fractional):
Er 0.0000 0.0000 0.0000 x4  4 Os 2.86, 4 Lu 2.86
Lu 0.2500 0.2500 0.7500 x4  4 Er 2.86
Os 0.2500 0.2500 0.2500 x4  4 Er 2.86

***

(2)
VASP calculation (PBE) on a relaxed structure of PrNdH2Cl4.

Results
total energy: -4.72 eV per atom
M_tot: 0.0 μB/cell
crystal system: hexagonal

Cell: 3.9429 3.9429 13.3509 Å, 90.00 90.00 120.00°
Closest atoms and distances in Å follow each position.
Space group P-6m2 (No. 187)
Symmetry-distinct sites (fractional):
Pr 0.0000 0.0000 0.0000 x1  3 H 2.28
Nd 0.0000 0.0000 0.5000 x1  3 H 2.28
H 0.3333 0.6667 0.0000 x1  3 Pr 2.28
H 0.6667 0.3333 0.5000 x1  3 Nd 2.28
Cl 0.3333 0.6667 0.3669 x2  3 Nd 2.89, 3 H 2.89
Cl 0.6667 0.3333 0.1343 x2  3 Pr 2.90, 3 H 2.90

***

(3)
VASP calculation (PBE) on a relaxed structure of Sc4Nb2Bi3C3.

Results
total energy: -7.66 eV per atom
M_tot: 0.0 μB/cell
crystal system: monoclinic

Cell: 10.1948 5.9053 14.8335 Å, 90.00 103.01 90.00°
Closest atoms and distances in Å follow each position.
Space group C2/c (No. 15)
Symmetry-distinct sites (fractional):
Sc 0.1103 0.0742 0.0820 x8  3 C 2.31-2.32
Sc 0.2182 0.0886 0.4178 x8  3 C 2.30-2.33
Nb 0.0637 0.4127 0.9259 x8  3 C 2.19-2.20
Bi 0.0000 0.0928 0.7500 x4  4 Sc 3.12-3.13, 2 Nb 3.17, 6 Bi 3.31-3.47
Bi 0.1632 0.4221 0.2491 x8  4 Sc 3.13-3.17, 2 Nb 3.17-3.22, 6 Bi 3.31-3.47
C 0.0794 0.2614 0.5000 x8  2 Nb 2.20, 4 Sc 2.30-2.32
C 0.2500 0.2500 0.0000 x4  2 Nb 2.19, 4 Sc 2.32-2.33

***

(4)
VASP calculation (PBE) on a relaxed structure of NbGe2C.

Results
total energy: -6.53 eV per atom
M_tot: 0.0 μB/cell
crystal system: hexagonal

Cell: 3.0328 3.0328 14.0552 Å, 90.00 90.00 120.00°
Closest atoms and distances in Å follow each position.
Space group P6_3/mmc (No. 194)
Symmetry-distinct sites (fractional):
Nb 0.3333 0.6667 0.2500 x2  6 Ge 2.84, 6 Nb 3.03
Ge 0.3333 0.6667 0.5907 x4  3 C 2.17
C 0.0000 0.0000 0.0000 x2  6 Ge 2.17

***

(5)
VASP calculation (PBE) on a relaxed structure of Hf4GaTeC2.

Results
total energy: -8.83 eV per atom
M_tot: 0.0 μB/cell
crystal system: hexagonal

Cell: 3.3934 3.3934 13.6258 Å, 90.00 90.00 120.00°
Closest atoms and distances in Å follow each position.
Space group P-6m2 (No. 187)
Symmetry-distinct sites (fractional):
Hf 0.0000 0.0000 0.1601 x2  3 C 2.30
Hf 0.6667 0.3333 0.3373 x2  3 C 2.30
Ga 0.0000 0.0000 0.5000 x1  6 Hf 2.96
Te 0.6667 0.3333 0.0000 x1  6 Hf 2.93
C 0.3333 0.6667 0.2491 x2  6 Hf 2.30

***

(6)
VASP calculation (PBE) on a relaxed structure of HfCoRe.

Results
energy relative to the elements: 1.0707 eV/atom
total energy: -8.76 eV per atom
M_tot: 8.2 μB/cell
crystal system: cubic

Cell: 6.0553 6.0553 6.0553 Å, 90.00 90.00 90.00°
Closest atoms and distances in Å follow each position.
Space group F-43m (No. 216)
Symmetry-distinct sites (fractional):
Hf 0.0000 0.0000 0.0000 x4  4 Re 2.62, 4 Co 2.62
Co 0.2500 0.2500 0.7500 x4  4 Hf 2.62
Re 0.2500 0.2500 0.2500 x4  4 Hf 2.62

***

(7)
VASP calculation (PBE) on a relaxed structure of SmDy2TmIn2.

Results
total energy: -4.32 eV per atom
M_tot: 1.0 μB/cell
crystal system: hexagonal

Cell: 5.3940 5.3940 6.7542 Å, 90.00 90.00 120.00°
Closest atoms and distances in Å follow each position.
Space group P-6m2 (No. 187)
Symmetry-distinct sites (fractional):
Sm 0.0000 0.0000 0.0000 x1  5 In 3.11-3.38
Dy 0.6667 0.3333 0.2561 x2  2 Dy 3.29-3.46, 6 In 3.52-3.56, 3 Tm 3.52, 3 Sm 3.56
Tm 0.3333 0.6667 0.5000 x1  5 In 3.11-3.38
In 0.0000 0.0000 0.5000 x1  3 Tm 3.11, 2 Sm 3.38
In 0.3333 0.6667 0.0000 x1  3 Sm 3.11, 2 Tm 3.38

***

(8)
VASP calculation (PBE) on a relaxed structure of LaNd2NiGe3Ir2.

Results
total energy: -6.44 eV per atom
M_tot: 0.0 μB/cell
crystal system: orthorhombic

Cell: 4.0233 12.4426 7.1955 Å, 90.00 90.00 90.00°
Closest atoms and distances in Å follow each position.
Space group Amm2 (No. 38)
Symmetry-distinct sites (fractional):
La 0.0000 0.0000 0.0000 x2  4 Ir 2.94, 1 Ni 2.98, 6 Ge 3.22-3.29
Nd 0.0000 0.2040 0.6166 x4  1 Ni 2.93, 4 Ir 2.97-2.98, 6 Ge 3.21-3.25
Ni 0.0000 0.0000 0.4145 x2  6 Ge 2.64-2.67, 2 Nd 2.93
Ge 0.5000 0.0000 0.6514 x2  2 Ni 2.64, 2 Ir 2.80
Ge 0.5000 0.1229 0.2935 x4  2 Ni 2.67, 2 Ir 2.77-2.78
Ir 0.5000 0.1653 0.9153 x4  3 Ge 2.77-2.80, 2 La 2.94, 4 Nd 2.97-2.98

***

(9)
VASP calculation (PBE) on a relaxed structure of LuNpSi.

Results
total energy: -7.55 eV per atom
energy above the most stable polymorph in this dataset: 0 meV/atom
M_tot: 20.7 μB/cell
crystal system: cubic

Cell: 6.7466 6.7466 6.7466 Å, 90.00 90.00 90.00°
Closest atoms and distances in Å follow each position.
Space group F-43m (No. 216)
Symmetry-distinct sites (fractional):
Lu 0.0000 0.0000 0.0000 x4  4 Si 2.92
Np 0.0000 0.0000 0.5000 x4  4 Si 2.92
Si 0.2500 0.2500 0.2500 x4  4 Np 2.92, 4 Lu 2.92

***

(10)
VASP calculation (PBE) on a relaxed structure of HfZrBi2Ir2.

Results
total energy: -7.64 eV per atom
M_tot: 0.0 μB/cell
crystal system: monoclinic

Cell: 11.1887 3.6681 13.9135 Å, 90.00 101.82 90.00°
Closest atoms and distances in Å follow each position.
Space group Pm (No. 6)
Symmetry-distinct sites (fractional):
Hf 0.0000 0.0000 0.0000 x1  3 Ir 2.54-2.68
Hf 0.0021 0.0000 0.5005 x1  3 Ir 2.54-2.69
Hf 0.2211 0.5000 0.6621 x1  3 Ir 2.65-2.69
Hf 0.5000 0.0000 0.7483 x1  3 Ir 2.54-2.69
Zr 0.2219 0.5000 0.1616 x1  3 Ir 2.69-2.72, 1 Bi 2.98
Zr 0.5011 0.0000 0.2464 x1  3 Ir 2.58-2.73
Zr 0.7222 0.5000 0.4110 x1  3 Ir 2.68-2.73, 1 Bi 2.98
Zr 0.7221 0.5000 0.9095 x1  3 Ir 2.69-2.72, 1 Bi 2.98
Bi 0.0945 0.5000 0.3302 x1  3 Ir 2.86-2.95, 1 Zr 2.98
Bi 0.0951 0.5000 0.8307 x1  3 Ir 2.87-2.95, 1 Hf 2.97
Bi 0.3215 0.0000 0.0113 x1  1 Ir 2.86, 2 Zr 3.15
Bi 0.3216 0.0000 0.5131 x1  1 Ir 2.84, 2 Hf 3.14
Bi 0.5952 0.5000 0.0782 x1  3 Ir 2.86-2.95, 1 Zr 2.98
Bi 0.5956 0.5000 0.5799 x1  3 Ir 2.87-2.96, 1 Zr 2.98
Bi 0.8213 0.0000 0.2608 x1  1 Ir 2.84, 2 Zr 3.15
Bi 0.8236 0.0000 0.7612 x1  1 Ir 2.84, 2 Zr 3.14
Ir 0.2822 0.0000 0.3046 x1  3 Zr 2.69-2.73, 2 Ir 2.82, 3 Bi 2.84-2.86
Ir 0.2820 0.0000 0.8014 x1  3 Hf 2.65-2.69, 2 Ir 2.83, 3 Bi 2.86-2.87
Ir 0.4733 0.5000 0.3703 x1  3 Zr 2.58-2.73, 2 Ir 2.82
Ir 0.4740 0.5000 0.8688 x1  2 Hf 2.54, 1 Zr 2.72, 2 Ir 2.83
Ir 0.7824 0.0000 0.0523 x1  1 Hf 2.68, 2 Zr 2.69, 2 Ir 2.83, 3 Bi 2.84-2.86
Ir 0.7837 0.0000 0.5529 x1  2 Zr 2.68, 1 Hf 2.69, 2 Ir 2.84, 3 Bi 2.84-2.87
Ir 0.9734 0.5000 0.1206 x1  2 Hf 2.54, 1 Zr 2.72, 2 Ir 2.83
Ir 0.9759 0.5000 0.6212 x1  3 Hf 2.54-2.69, 2 Ir 2.84

***

(11)
VASP calculation (PBE) on a relaxed structure of LiCd2Pd.

Results
total energy: -2.64 eV per atom
energy above the most stable polymorph in this dataset: 0 meV/atom
crystal system: tetragonal

Cell: 4.6077 4.6077 6.5433 Å, 90.00 90.00 90.00°
Closest atoms and distances in Å follow each position.
Space group I4/mmm (No. 139)
Symmetry-distinct sites (fractional):
Li 0.0000 0.0000 0.0000 x2  8 Cd 2.83
Cd 0.0000 0.5000 0.2500 x4  4 Li 2.83, 4 Pd 2.83
Pd 0.0000 0.0000 0.5000 x2  8 Cd 2.83

***

(12)
VASP calculation (PBE) on a relaxed structure of AcPrB4.

Results
total energy: -6.00 eV per atom
energy above the most stable polymorph in this dataset: 12 meV/atom
M_tot: 0.0 μB/cell
crystal system: orthorhombic

Cell: 3.4095 5.8003 8.6715 Å, 90.00 90.00 90.00°
Closest atoms and distances in Å follow each position.
Space group Immm (No. 71)
Symmetry-distinct sites (fractional):
Ac 0.0000 0.0000 0.0000 x2  12 B 2.91-2.92
Pr 0.0000 0.0000 0.5000 x2  12 B 2.92
B 0.0000 0.3359 0.2498 x8  3 B 1.90-1.97

***

(13)
VASP calculation (PBE) on a relaxed structure of Pr3Nb2Sn3O12.

Results
total energy: -7.49 eV per atom
M_tot: 8.0 μB/cell
crystal system: cubic

Cell: 13.4009 13.4009 13.4009 Å, 90.00 90.00 90.00°
Closest atoms and distances in Å follow each position.
Space group Ia-3d (No. 230)
Symmetry-distinct sites (fractional):
Pr 0.0000 0.2500 0.1250 x24  8 O 2.51-2.63
Nb 0.0000 0.0000 0.0000 x16  6 O 2.06
Sn 0.0000 0.2500 0.3750 x24  4 O 2.20
O 0.0232 0.0644 0.6380 x96  1 Nb 2.06, 1 Sn 2.20

***

(14)
VASP calculation (PBE) on a relaxed structure of K2OsNCl5.

Results
total energy: -4.44 eV per atom
M_tot: 0.0 μB/cell
crystal system: orthorhombic

Cell: 13.4616 9.9617 6.9360 Å, 90.00 90.00 90.00°
Closest atoms and distances in Å follow each position.
Space group Pnma (No. 62)
Symmetry-distinct sites (fractional):
K 0.1456 0.0010 0.1694 x8  9 Cl 3.24-3.53
Os 0.0913 0.7500 0.6686 x4  1 N 1.66
N 0.0038 0.2500 0.4839 x4  1 Os 1.66
Cl 0.0016 0.7500 0.9639 x4  1 Os 2.38
Cl 0.1067 0.5125 0.6927 x8  1 Os 2.38
Cl 0.2190 0.7500 0.4309 x4  1 Os 2.38
Cl 0.2477 0.7500 0.9027 x4  1 Os 2.66

***

(15)
VASP calculation (PBE) on a relaxed structure of RbZrTlS3.

Results
total energy: -5.25 eV per atom
energy above the most stable polymorph in this dataset: 0 meV/atom
M_tot: 0.0 μB/cell
crystal system: monoclinic

Cell: 7.9568 3.8610 10.6063 Å, 90.00 96.32 90.00°
Closest atoms and distances in Å follow each position.
Space group P2_1/m (No. 11)
Symmetry-distinct sites (fractional):
Rb 0.2472 0.2500 0.4750 x2  6 S 3.30-3.41
Zr 0.4107 0.7500 0.8372 x2  6 S 2.47-2.72
Tl 0.0478 0.7500 0.1466 x2  3 S 2.98-3.07
S 0.1357 0.7500 0.7037 x2  1 Zr 2.47
S 0.3172 0.2500 0.9832 x2  3 Zr 2.63-2.72
S 0.4510 0.7500 0.2804 x2  2 Zr 2.61

***

(16)
VASP calculation (PBE) on a relaxed structure of NaHfCoGe.

Results
total energy: -5.75 eV per atom
energy above the most stable polymorph in this dataset: 0 meV/atom
M_tot: 0.0 μB/cell
crystal system: cubic

Cell: 6.2612 6.2612 6.2612 Å, 90.00 90.00 90.00°
Closest atoms and distances in Å follow each position.
Space group F-43m (No. 216)
Symmetry-distinct sites (fractional):
Na 0.0000 0.0000 0.0000 x4  4 Ge 2.71, 4 Hf 2.71
Hf 0.2500 0.2500 0.2500 x4  4 Na 2.71, 4 Co 2.71
Co 0.0000 0.0000 0.5000 x4  4 Ge 2.71, 4 Hf 2.71
Ge 0.2500 0.2500 0.7500 x4  4 Na 2.71, 4 Co 2.71

***

(17)
VASP calculation (PBE) on a relaxed structure of Be2Nb2Ir.

Results
total energy: -7.76 eV per atom
M_tot: 0.0 μB/cell
crystal system: tetragonal

Cell: 6.1351 6.1351 3.5159 Å, 90.00 90.00 90.00°
Closest atoms and distances in Å follow each position.
Space group P4/mbm (No. 127)
Symmetry-distinct sites (fractional):
Be 0.1247 0.3753 0.0000 x4  1 Be 2.16
Nb 0.1726 0.6726 0.5000 x4  6 Be 2.49-2.55
Ir 0.0000 0.0000 0.0000 x2  4 Be 2.43

***

(18)
VASP calculation (PBE) on a relaxed structure of HfTaTe2.

Results
total energy: -6.58 eV per atom
M_tot: 0.0 μB/cell
crystal system: cubic

Cell: 7.1041 7.1041 7.1041 Å, 90.00 90.00 90.00°
Closest atoms and distances in Å follow each position.
Space group F-43m (No. 216)
Symmetry-distinct sites (fractional):
Hf 0.0000 0.0000 0.0000 x4  4 Ta 3.08, 4 Te 3.08
Ta 0.2500 0.2500 0.7500 x4  4 Hf 3.08, 4 Te 3.08
Te 0.0000 0.0000 0.5000 x4  4 Te 3.08, 4 Ta 3.08
Te 0.2500 0.2500 0.2500 x4  4 Hf 3.08, 4 Te 3.08